1) The following is a DFT calculation (GGA-PBE) of Re2WAu after structural relaxation.

Lattice parameters (Å, degrees): 4.895 4.895 4.802 100.80 100.80 34.24
Element x y z (fractional)
Re  0.000  0.000  0.000
Re  0.740  0.740  0.216
W  0.487  0.487  0.465
Au  0.243  0.243  0.724

=====

2) The following is a DFT calculation (GGA-PBE) of Re2WAu after structural relaxation.

Lattice parameters (Å, degrees): 2.797 2.797 8.179 90.00 90.00 90.00
Element x y z (fractional)
Re  0.000  0.000  0.238
Re  0.000  0.000  0.762
W  0.500  0.500  0.000
Au  0.500  0.500  0.500

=====

3) The following is a DFT calculation (GGA-PBE) of Re2WAu after structural relaxation.

Lattice parameters (Å, degrees): 3.358 3.358 5.795 90.00 90.00 90.00
Element x y z (fractional)
Re  0.000  0.000  0.000
Re  0.500  0.500  0.210
W  0.000  0.000  0.444
Au  0.500  0.500  0.719

=====

4) The following is a DFT calculation (GGA-PBE) of Re2WAu after structural relaxation.

Lattice parameters (Å, degrees): 3.990 3.990 3.923 90.00 90.00 90.00
Element x y z (fractional)
Re  0.000  0.500  0.000
Re  0.500  0.000  0.000
W  0.000  0.000  0.500
Au  0.500  0.500  0.500

=====

The structure with the greatest stability is 4).

=====

1) The following is a DFT calculation (GGA-PBE) of YRe2Au after structural relaxation.

Lattice parameters (Å, degrees): 4.853 4.853 4.853 126.33 126.33 79.35
Element x y z (fractional)
Y  0.000  0.000  0.000
Re  0.500  0.500  0.000
Re  0.750  0.250  0.500
Au  0.250  0.750  0.500

=====

2) The following is a DFT calculation (GGA-PBE) of YRe2Au after structural relaxation.

Lattice parameters (Å, degrees): 5.690 5.690 5.690 146.60 133.02 58.86
Element x y z (fractional)
Y  0.000  0.000  0.000
Re  0.258  0.758  0.500
Re  0.742  0.242  0.500
Au  0.500  0.500  0.000

=====

3) The following is a DFT calculation (GGA-PBE) of YRe2Au after structural relaxation.

Lattice parameters (Å, degrees): 9.875 9.875 9.875 17.09 17.09 17.09
Element x y z (fractional)
Y  0.000  0.000  0.000
Re  0.243  0.243  0.243
Re  0.507  0.507  0.507
Au  0.757  0.757  0.757

=====

The structure with the greatest stability is 1).